First-principles (PBE+U) data for a relaxed structure of Sm2PuFeO8, as listed in the Alexandria database.

Lattice parameters (Å, degrees): 4.6426 5.1609 7.2436 83.11 87.51 83.56
Space group P-1 (No. 2)
Unique sites:
Sm (0.0932, 0.0170, 0.2351)
Pu (0.5000, 0.5000, 0.5000)
Fe (0.5000, 0.5000, 0.0000)
O (0.1428, 0.7347, 0.5251)
O (0.2182, 0.7894, 0.9874)
O (0.3517, 0.3743, 0.2405)
O (0.3718, 0.2144, 0.6672)

Summary:
Calculated density   7.07 Mg/m³
Calculated volume   14.3 Å³ per atom
Energy   -8.271 eV/atom